# 1
{
  "formula": "Cs3Ho3PuSe8",
  "functional": "GGA-PBE",
  "state": "relaxed",
  "sg": "R-3m (166)",
  "volume_a3_per_fu": 520.6,
  "final_energy_ev_per_fu": -83.08,
  "magmom_total_mub_per_atom": 0.267,
  "lattice_angstrom": [[-6.984, 2.841, -3.696], [1.702, -8.222, 0.002], [-3.048, 3.663, 8.575]],
  "species": ["Se", "Pu", "Se", "Ho", "Cs", "Se", "Cs", "Cs", "Se", "Ho", "Se", "Se", "Se", "Se", "Ho"],
  "fractional_positions": [[0.730, 0.956, 0.681], [0.000, 0.000, 0.500], [0.272, 0.544, 0.316], [0.500, 0.000, 0.500], [0.000, 0.000, 0.000], [0.774, 0.548, 0.319], [0.500, 0.500, 0.000], [0.000, 0.500, 0.000], [0.226, 0.452, 0.681], [0.500, 0.500, 0.500], [0.226, 0.956, 0.681], [0.270, 0.044, 0.319], [0.774, 0.044, 0.319], [0.728, 0.456, 0.684], [0.000, 0.500, 0.500]]
}



# 2
{
  "formula": "CeDyCoTc",
  "functional": "GGA-PBE",
  "state": "relaxed",
  "sg": "F-43m (216)",
  "volume_a3_per_fu": 78.4,
  "final_energy_ev_per_fu": -28.16,
  "magmom_total_mub_per_atom": 0.049,
  "formation_enthalpy_0k_kj_per_mol_atoms": -4,
  "lattice_angstrom": [[4.803, 0.000, 0.000], [2.402, 4.160, 0.000], [2.402, 1.387, 3.922]],
  "species": ["Co", "Tc", "Ce", "Dy"],
  "fractional_positions": [[0.250, 0.250, 0.250], [0.750, 0.750, 0.750], [0.500, 0.500, 0.500], [0.000, 0.000, 0.000]]
}



# 3
{
  "formula": "TbDyB4",
  "functional": "GGA-PBE",
  "state": "relaxed",
  "sg": "I-4m2 (119)",
  "volume_a3_per_fu": 74.5,
  "final_energy_ev_per_fu": -38.28,
  "magmom_total_mub_per_atom": 0.000,
  "formation_enthalpy_0k_kj_per_mol_atoms": -38,
  "lattice_angstrom": [[3.430, 0.000, -1.059], [-0.327, 3.415, -1.059], [0.070, 0.077, 6.311]],
  "species": ["Tb", "B", "Dy", "B", "B", "B"],
  "fractional_positions": [[0.000, 0.000, 0.000], [0.828, 0.328, 0.655], [0.250, 0.750, 0.500], [0.578, 0.578, 0.156], [0.422, 0.422, 0.844], [0.672, 0.172, 0.345]]
}



# 4
{
  "formula": "TbTmGaGe",
  "functional": "GGA-PBE",
  "state": "relaxed",
  "sg": "Amm2 (38)",
  "volume_a3_per_fu": 92.1,
  "final_energy_ev_per_fu": -19.87,
  "magmom_total_mub_per_atom": 0.000,
  "formation_enthalpy_0k_kj_per_mol_atoms": -75,
  "e_above_lowest_polymorph_mev_per_atom": 0,
  "lattice_angstrom": [[4.301, 0.000, 0.000], [0.000, 3.989, 0.000], [-2.150, 0.000, 5.368]],
  "species": ["Tb", "Tm", "Ge", "Ga"],
  "fractional_positions": [[0.140, 0.000, 0.280], [0.861, 0.500, 0.722], [0.420, 0.000, 0.839], [0.580, 0.500, 0.159]]
}



# 5
{
  "formula": "SiBiBTe",
  "functional": "GGA-PBE",
  "state": "relaxed",
  "sg": "Imm2 (44)",
  "volume_a3_per_fu": 102.6,
  "final_energy_ev_per_fu": -18.42,
  "magmom_total_mub_per_atom": 0.000,
  "e_above_lowest_polymorph_mev_per_atom": 0,
  "lattice_angstrom": [[3.901, 0.000, 0.000], [0.000, 3.355, 0.000], [0.000, 0.000, 15.673]],
  "species": ["Te", "B", "Te", "Si", "Si", "Bi", "B", "Bi"],
  "fractional_positions": [[0.000, 0.000, 0.911], [0.500, 0.500, 0.088], [0.500, 0.500, 0.411], [0.500, 0.000, 0.026], [0.000, 0.500, 0.526], [0.000, 0.500, 0.180], [0.000, 0.000, 0.588], [0.500, 0.000, 0.680]]
}



# 6
{
  "formula": "NdMgZn5Pt2",
  "functional": "GGA-PBE",
  "state": "relaxed",
  "sg": "P4/mmm (123)",
  "volume_a3_per_fu": 176.8,
  "final_energy_ev_per_fu": -27.35,
  "magmom_total_mub_per_atom": 0.000,
  "formation_enthalpy_0k_kj_per_mol_atoms": -27,
  "lattice_angstrom": [[4.816, 0.000, 0.000], [0.000, 4.816, 0.000], [0.000, 0.000, 7.623]],
  "species": ["Zn", "Nd", "Zn", "Zn", "Mg", "Zn", "Zn", "Pt", "Pt"],
  "fractional_positions": [[0.000, 0.500, 0.765], [0.000, 0.000, 0.500], [0.500, 0.500, 0.500], [0.500, 0.000, 0.235], [0.000, 0.000, 0.000], [0.000, 0.500, 0.235], [0.500, 0.000, 0.765], [0.500, 0.500, 0.824], [0.500, 0.500, 0.176]]
}



# 7
{
  "formula": "ZnSiAu2",
  "functional": "GGA-PBE",
  "state": "relaxed",
  "sg": "Imm2 (44)",
  "volume_a3_per_fu": 66.9,
  "final_energy_ev_per_fu": -12.93,
  "magmom_total_mub_per_atom": 0.000,
  "lattice_angstrom": [[-4.980, 0.523, -1.011], [-2.940, -3.424, 2.393], [3.646, 3.297, 1.389]],
  "species": ["Au", "Au", "Zn", "Si"],
  "fractional_positions": [[0.741, 0.241, 0.500], [0.995, 0.995, 0.000], [0.255, 0.755, 0.500], [0.508, 0.508, 0.000]]
}



# 8
{
  "formula": "Ba2Sr8In",
  "functional": "GGA-PBE",
  "state": "relaxed",
  "sg": "C2/m (12)",
  "volume_a3_per_fu": 568.7,
  "final_energy_ev_per_fu": -20.38,
  "magmom_total_mub_per_atom": 0.000,
  "formation_enthalpy_0k_kj_per_mol_atoms": -3,
  "lattice_angstrom": [[6.134, 0.000, -1.756], [-0.163, 8.095, -0.571], [-0.037, 0.029, 11.462]],
  "species": ["Ba", "Sr", "Sr", "Sr", "Sr", "Sr", "Sr", "Ba", "Sr", "Sr", "In"],
  "fractional_positions": [[0.839, 0.830, 0.679], [0.970, 0.238, 0.939], [0.353, 0.113, 0.705], [0.030, 0.762, 0.061], [0.779, 0.345, 0.558], [0.221, 0.655, 0.442], [0.416, 0.603, 0.832], [0.161, 0.170, 0.321], [0.584, 0.397, 0.168], [0.647, 0.887, 0.295], [0.500, 0.000, 0.000]]
}



# 9
{
  "formula": "HoTm5Pb4",
  "functional": "GGA-PBE",
  "state": "relaxed",
  "sg": "C2/m (12)",
  "volume_a3_per_fu": 305.9,
  "final_energy_ev_per_fu": -43.50,
  "magmom_total_mub_per_atom": 0.000,
  "formation_enthalpy_0k_kj_per_mol_atoms": -17,
  "lattice_angstrom": [[-3.027, -1.242, 1.558], [5.287, -5.905, 5.563], [1.859, 7.099, 5.057]],
  "species": ["Pb", "Tm", "Tm", "Tm", "Ho", "Tm", "Tm", "Pb", "Pb", "Pb"],
  "fractional_positions": [[0.025, 0.253, 0.050], [0.156, 0.753, 0.311], [0.192, 0.389, 0.384], [0.500, 0.500, 0.000], [0.500, 0.000, 0.000], [0.808, 0.611, 0.616], [0.844, 0.247, 0.689], [0.318, 0.933, 0.636], [0.975, 0.747, 0.950], [0.682, 0.067, 0.364]]
}



# 10
{
  "formula": "TaCuIr",
  "functional": "GGA-PBE",
  "state": "relaxed",
  "sg": "P3m1 (156)",
  "volume_a3_per_fu": 45.0,
  "final_energy_ev_per_fu": -25.48,
  "magmom_total_mub_per_atom": 0.000,
  "formation_enthalpy_0k_kj_per_mol_atoms": -22,
  "e_above_lowest_polymorph_mev_per_atom": 127,
  "lattice_angstrom": [[4.334, 0.000, 0.000], [-2.167, 3.754, 0.000], [0.000, 0.000, 2.769]],
  "species": ["Ta", "Cu", "Ir"],
  "fractional_positions": [[0.667, 0.333, 0.652], [0.000, 0.000, 0.109], [0.333, 0.667, 0.239]]
}



# 11
{
  "formula": "LaTaCl",
  "functional": "GGA-PBE",
  "state": "relaxed",
  "sg": "P3m1 (156)",
  "volume_a3_per_fu": 68.9,
  "final_energy_ev_per_fu": -19.03,
  "magmom_total_mub_per_atom": 0.000,
  "e_above_lowest_polymorph_mev_per_atom": 0,
  "lattice_angstrom": [[3.221, 0.000, 0.000], [-1.611, 2.790, 0.000], [0.000, 0.000, 7.668]],
  "species": ["Ta", "La", "Cl"],
  "fractional_positions": [[0.667, 0.333, 0.712], [0.333, 0.667, 0.347], [0.000, 0.000, 0.941]]
}



# 12
{
  "formula": "AcPr2AsO8",
  "functional": "GGA-PBE",
  "state": "relaxed",
  "sg": "P-3m1 (164)",
  "volume_a3_per_fu": 169.6,
  "final_energy_ev_per_fu": -84.60,
  "magmom_total_mub_per_atom": 0.170,
  "lattice_angstrom": [[5.365, 0.000, 0.000], [-2.682, 4.646, 0.000], [0.000, 0.000, 6.803]],
  "species": ["O", "O", "O", "Ac", "O", "O", "As", "Pr", "Pr", "O", "O", "O"],
  "fractional_positions": [[0.321, 0.161, 0.841], [0.679, 0.839, 0.159], [0.333, 0.667, 0.545], [0.000, 0.000, 0.500], [0.667, 0.333, 0.455], [0.839, 0.679, 0.841], [0.000, 0.000, 0.000], [0.667, 0.333, 0.131], [0.333, 0.667, 0.869], [0.161, 0.839, 0.159], [0.839, 0.161, 0.841], [0.161, 0.321, 0.159]]
}